Entry 1:
Density functional theory data (PBEsol) for a relaxed structure of Ga3MoPb.

Cell and atoms, written as POSCAR:
```
Ga3MoPb
1.0
5.238 0.000 0.000
0.000 5.238 0.000
0.000 0.000 5.238
Ga Mo Pb
3 1 1
Direct
0.000 0.000 0.500
0.000 0.500 0.000
0.500 0.000 0.000
0.500 0.500 0.500
0.000 0.000 0.000
```

- Calculated formation energy: 1.60 eV per atom
- Total magnetization: 0.85 μB/atom

***

Entry 2:
Density functional theory data (PBEsol) for a relaxed structure of RbGa2Mo.

Cell and atoms, written as POSCAR:
```
RbGa2Mo
1.0
0.000 3.516 3.516
3.516 0.000 3.516
3.516 3.516 0.000
Rb Ga Mo
1 2 1
Direct
0.000 0.000 0.000
0.250 0.250 0.250
0.750 0.750 0.750
0.500 0.500 0.500
```

- Calculated formation energy: 1.01 eV per atom
- Total magnetization: 0.81 μB/atom

***

Entry 3:
Density functional theory data (PBEsol) for a relaxed structure of RbGaSi2Mo.

Cell and atoms, written as POSCAR:
```
RbGaSi2Mo
1.0
4.764 0.000 0.000
0.000 4.764 0.000
0.000 0.000 5.634
Rb Ga Si Mo
1 1 2 1
Direct
0.000 0.000 0.000
0.500 0.500 0.000
0.000 0.500 0.500
0.500 0.000 0.500
0.000 0.000 0.500
```

- VASP energy: -4.673 eV/atom
- Total magnetization: 0.00 μB/atom

***

Entry 4:
Density functional theory data (PBEsol) for a relaxed structure of GaRe2Mo.

Cell and atoms, written as POSCAR:
```
GaRe2Mo
1.0
0.000 3.080 3.080
3.080 0.000 3.080
3.080 3.080 0.000
Ga Re Mo
1 2 1
Direct
0.000 0.000 0.000
0.250 0.250 0.250
0.750 0.750 0.750
0.500 0.500 0.500
```

- Calculated formation energy: 0.13 eV per atom
- Total magnetization: 0.00 μB/atom

***

Entry 5:
Density functional theory data (PBEsol) for a relaxed structure of GaReMo2.

Cell and atoms, written as POSCAR:
```
GaReMo2
1.0
0.000 3.097 3.097
3.097 0.000 3.097
3.097 3.097 0.000
Ga Re Mo
1 1 2
Direct
0.000 0.000 0.000
0.500 0.500 0.500
0.250 0.250 0.250
0.750 0.750 0.750
```

- Calculated formation energy: 0.11 eV per atom
- Total magnetization: 0.00 μB/atom

***

Entry 6:
Density functional theory data (PBEsol) for a relaxed structure of Ga3MoRu.

Cell and atoms, written as POSCAR:
```
Ga3MoRu
1.0
4.614 0.000 0.000
0.000 4.614 0.000
0.000 0.000 4.614
Ga Mo Ru
3 1 1
Direct
0.000 0.000 0.500
0.000 0.500 0.000
0.500 0.000 0.000
0.500 0.500 0.500
0.000 0.000 0.000
```

- Calculated formation energy: 0.81 eV per atom
- Total magnetization: 0.74 μB/atom

***

Copy entry 5 word for word.
Density functional theory data (PBEsol) for a relaxed structure of GaReMo2.

Cell and atoms, written as POSCAR:
```
GaReMo2
1.0
0.000 3.097 3.097
3.097 0.000 3.097
3.097 3.097 0.000
Ga Re Mo
1 1 2
Direct
0.000 0.000 0.000
0.500 0.500 0.500
0.250 0.250 0.250
0.750 0.750 0.750
```

- Calculated formation energy: 0.11 eV per atom
- Total magnetization: 0.00 μB/atom

***

- Number 6 is which compound?
  Ga3MoRu

***

Please write out number 6 again, unchanged.
Density functional theory data (PBEsol) for a relaxed structure of Ga3MoRu.

Cell and atoms, written as POSCAR:
```
Ga3MoRu
1.0
4.614 0.000 0.000
0.000 4.614 0.000
0.000 0.000 4.614
Ga Mo Ru
3 1 1
Direct
0.000 0.000 0.500
0.000 0.500 0.000
0.500 0.000 0.000
0.500 0.500 0.500
0.000 0.000 0.000
```

- Calculated formation energy: 0.81 eV per atom
- Total magnetization: 0.74 μB/atom